--- a ---
GGA-PBEsol Zn2CuMo, optimized geometry; N(E_F) = 3.6 states/eV per cell; M_tot = 1.35 μB/f.u.
1.0
-3.049 2.369 -1.762
-0.685 -0.191 -4.184
-3.522 -1.840 -1.492
Mo Zn Cu
1 2 1
direct
0.500 0.500 0.500
0.250 0.250 0.250
0.750 0.750 0.750
0.000 0.000 0.000



--- b ---
GGA-PBEsol Zn2CuMo, optimized geometry; N(E_F) = 2.3 states/eV per cell; M_tot = 0.00 μB/f.u.
1.0
-0.470 1.623 1.997
-4.360 0.281 -1.255
1.419 -4.515 2.291
Zn Cu Mo
2 1 1
direct
0.010 0.010 0.019
0.756 0.256 0.512
0.489 0.489 0.978
0.246 0.746 0.492



Least stable structure among those shown: a.